# MnZn6Pd12 (PBE, relaxed)
# DOS at the Fermi energy ... 0.492 states/eV per atom
# ΔH_f (0 K) ... -325 meV per atom
data_MnZn6Pd12
_chemical_formula_sum 'Mn3 Zn18 Pd36'
_cell_length_a 12.0374
_cell_length_b 12.0374
_cell_length_c 6.8614
_cell_angle_alpha 90.00
_cell_angle_beta 90.00
_cell_angle_gamma 120.00
_space_group_name_H-M_alt 'R -3'
_space_group_IT_number 148
_space_group_name_Hall '-R 3'
loop_
_atom_site_label
_atom_site_fract_x
_atom_site_fract_y
_atom_site_fract_z
Mn1 0.0000 0.0000 0.0000
Zn1 0.0167 0.8632 0.6756
Pd1 0.0310 0.7656 0.3434
Pd2 0.0745 0.5083 0.6664



# MnZn5Pd4 (PBE, relaxed)
# DOS at the Fermi energy ... 0.411 states/eV per atom
# ΔH_f (0 K) ... -420 meV per atom
data_MnZn5Pd4
_chemical_formula_sum 'Mn1 Zn5 Pd4'
_cell_length_a 3.1268
_cell_length_b 3.1268
_cell_length_c 14.6410
_cell_angle_alpha 90.00
_cell_angle_beta 90.00
_cell_angle_gamma 90.00
_space_group_name_H-M_alt 'P 4/m m m'
_space_group_IT_number 123
_space_group_name_Hall '-P 4 2'
loop_
_atom_site_label
_atom_site_fract_x
_atom_site_fract_y
_atom_site_fract_z
Mn1 0.0000 0.0000 0.0000
Zn1 0.5000 0.5000 0.0974
Zn2 0.5000 0.5000 0.2974
Zn3 0.5000 0.5000 0.5000
Pd1 0.0000 0.0000 0.1957
Pd2 0.0000 0.0000 0.3989